TaNiMo | PBE | relaxed

Results
Energy above the lowest structure with this stoichiometry, eV/atom: 0.098
Raw total energy, eV per cell: -56.9
Formation energy, eV per atom: 0.005
DOS at the Fermi energy, states/eV per cell: 6.00
Volume, Å³/cell: 91

a = 5.113 Å, b = 5.113 Å, c = 5.421 Å
α = 119.07°, β = 119.07°, γ = 49.21°
Element x y z (fractional)
Ta 0.000 0.000 0.000
Ta 0.662 0.662 0.812
Ni 0.321 0.321 0.653
Ni 0.667 0.667 0.335
Mo 0.325 0.325 0.171
Mo 0.990 0.990 0.489

TaNiRu | PBE | relaxed

Results
Energy above the lowest structure with this stoichiometry, eV/atom: 0.084
Raw total energy, eV per cell: -55.1
Formation energy, eV per atom: -0.215
DOS at the Fermi energy, states/eV per cell: 6.35
Volume, Å³/cell: 86

a = 4.945 Å, b = 4.945 Å, c = 4.945 Å
α = 121.61°, β = 91.62°, γ = 116.58°
Element x y z (fractional)
Ta 0.132 0.250 0.382
Ta 0.868 0.750 0.618
Ni 0.435 0.435 0.000
Ni 0.435 0.935 0.500
Ru 0.564 0.020 0.043
Ru 0.977 0.520 0.957

Q: Look up the formation energy of the second one.
A: -0.215 eV per atom